Record 1
A geometry-optimized Be2AlAs structure, computed with GGA-PBEsol.

- Formation enthalpy at 0 K: 0.4934 eV per atom
- Spin magnetization: 0.00 μB per cell
- DOS(E_F): 1.16 states/eV/f.u.

abc: 5.847 5.847 8.080
angles: 90.00 90.00 90.00
Space group I-42d (No. 122)
One atom of each set of equivalent atoms:
Be1 0.207 0.750 0.125 (multiplicity 8)
Al1 0.000 0.000 0.500 (multiplicity 4)
As1 0.000 0.000 0.000 (multiplicity 4)

---

Record 2
A geometry-optimized YSc3 structure, computed with GGA-PBEsol.

- Formation enthalpy at 0 K: 0.0590 eV per atom
- Spin magnetization: 0.00 μB per cell
- DOS(E_F): 7.31 states/eV/f.u.

abc: 4.646 4.646 4.646
angles: 90.00 90.00 90.00
Space group Pm-3m (No. 221)
One atom of each set of equivalent atoms:
Y1 0.000 0.000 0.000 (multiplicity 1)
Sc1 0.000 0.500 0.500 (multiplicity 3)

---

Record 3
A geometry-optimized Li3TaSe structure, computed with GGA-PBEsol.

- Total DFT energy (no corrections): -19.5 eV per cell
- Spin magnetization: 4.03 μB per cell
- DOS(E_F): 5.77 states/eV/f.u.

abc: 4.705 4.705 4.705
angles: 90.00 90.00 90.00
Space group Pm-3m (No. 221)
One atom of each set of equivalent atoms:
Li1 0.000 0.000 0.500 (multiplicity 3)
Ta1 0.500 0.500 0.500 (multiplicity 1)
Se1 0.000 0.000 0.000 (multiplicity 1)

---

Record 4
A geometry-optimized KTaBeN2 structure, computed with GGA-PBEsol.

- Total DFT energy (no corrections): -25.4 eV per cell
- Spin magnetization: 0.45 μB per cell
- DOS(E_F): 3.82 states/eV/f.u.

abc: 3.859 3.859 4.189
angles: 90.00 90.00 90.00
Space group P4/mmm (No. 123)
One atom of each set of equivalent atoms:
K1 0.000 0.000 0.000 (multiplicity 1)
Ta1 0.500 0.500 0.000 (multiplicity 1)
Be1 0.500 0.500 0.500 (multiplicity 1)
N1 0.000 0.500 0.500 (multiplicity 2)

---

Record 5
A geometry-optimized Li3FeO4 structure, computed with GGA-PBEsol.

- Total DFT energy (no corrections): -97.3 eV per cell
- Spin magnetization: 5.78 μB per cell
- DOS(E_F): 3.65 states/eV/f.u.

abc: 3.921 3.921 8.228
angles: 90.00 90.00 90.00
Space group I4mm (No. 107)
One atom of each set of equivalent atoms:
Li1 0.000 0.000 0.000 (multiplicity 2)
Li2 0.000 0.500 0.236 (multiplicity 4)
Fe1 0.000 0.000 0.483 (multiplicity 2)
O1 0.000 0.000 0.268 (multiplicity 2)
O2 0.000 0.000 0.696 (multiplicity 2)
O3 0.000 0.500 0.484 (multiplicity 4)

---

Record 6
A geometry-optimized LaIr5 structure, computed with GGA-PBEsol.

- Formation enthalpy at 0 K: -0.2280 eV per atom
- Spin magnetization: 0.00 μB per cell
- DOS(E_F): 8.61 states/eV/f.u.

abc: 5.3093 5.3093 4.2928
angles: 90.00 90.00 120.00
Space group P6/mmm (No. 191)
One atom of each set of equivalent atoms:
La1 0.0000 0.0000 0.0000 (multiplicity 1)
Ir1 0.0000 0.5000 0.5000 (multiplicity 3)
Ir2 0.3333 0.6667 0.0000 (multiplicity 2)

---

Record 7
A geometry-optimized SrIBrN2 structure, computed with GGA-PBEsol.

- Total DFT energy (no corrections): -16.5 eV per cell
- Spin magnetization: 1.25 μB per cell
- DOS(E_F): 4.72 states/eV/f.u.

abc: 4.438 4.438 5.462
angles: 90.00 90.00 90.00
Space group P4/mmm (No. 123)
One atom of each set of equivalent atoms:
Sr1 0.000 0.000 0.000 (multiplicity 1)
I1 0.500 0.500 0.000 (multiplicity 1)
Br1 0.500 0.500 0.500 (multiplicity 1)
N1 0.000 0.500 0.500 (multiplicity 2)

---

Record 8
A geometry-optimized CrCo2Ir structure, computed with GGA-PBEsol.

- Formation enthalpy at 0 K: -0.0433 eV per atom
- Spin magnetization: 0.91 μB per cell
- DOS(E_F): 5.17 states/eV/f.u.

abc: 3.549 3.549 7.183
angles: 90.00 90.00 90.00
Space group I4/mmm (No. 139)
One atom of each set of equivalent atoms:
Cr1 0.000 0.000 0.000 (multiplicity 2)
Co1 0.000 0.500 0.250 (multiplicity 4)
Ir1 0.000 0.000 0.500 (multiplicity 2)

---

Record 9
A geometry-optimized Ga3PdPb structure, computed with GGA-PBEsol.

- Formation enthalpy at 0 K: -0.0193 eV per atom
- Spin magnetization: 0.00 μB per cell
- DOS(E_F): 2.99 states/eV/f.u.

abc: 4.804 4.804 4.804
angles: 90.00 90.00 90.00
Space group Pm-3m (No. 221)
One atom of each set of equivalent atoms:
Ga1 0.000 0.000 0.500 (multiplicity 3)
Pd1 0.000 0.000 0.000 (multiplicity 1)
Pb1 0.500 0.500 0.500 (multiplicity 1)

---

Record 10
A geometry-optimized SrZr2Hg structure, computed with GGA-PBEsol.

- Formation enthalpy at 0 K: 0.2334 eV per atom
- Spin magnetization: 0.00 μB per cell
- DOS(E_F): 4.80 states/eV/f.u.

abc: 6.184 11.444 3.199
angles: 90.00 118.84 90.00
Space group C2/m (No. 12)
One atom of each set of equivalent atoms:
Sr1 0.000 0.000 0.000 (multiplicity 2)
Zr1 0.250 0.250 0.500 (multiplicity 4)
Hg1 0.000 0.500 0.000 (multiplicity 2)

---

Record 11
A geometry-optimized Mn3Cr structure, computed with GGA-PBEsol.

- Formation enthalpy at 0 K: 0.0948 eV per atom
- Spin magnetization: 0.12 μB per cell
- DOS(E_F): 6.77 states/eV/f.u.

abc: 4.397 4.397 4.397
angles: 90.00 90.00 90.00
Space group Pm-3n (No. 223)
One atom of each set of equivalent atoms:
Mn1 0.000 0.250 0.500 (multiplicity 6)
Cr1 0.000 0.000 0.000 (multiplicity 2)

---

Record 12
A geometry-optimized IrCS2 structure, computed with GGA-PBEsol.

- Total DFT energy (no corrections): -99.1 eV per cell
- Spin magnetization: 0.00 μB per cell
- DOS(E_F): 2.97 states/eV/f.u.

abc: 4.992 4.992 8.947
angles: 90.00 90.00 90.00
Space group I-42d (No. 122)
One atom of each set of equivalent atoms:
Ir1 0.000 0.000 0.000 (multiplicity 4)
C1 0.000 0.000 0.500 (multiplicity 4)
S1 0.198 0.750 0.625 (multiplicity 8)

---

- The lowest DOS(E_F) belongs to which entry?
  Be2AlAs